[1]
{
  "formula": "KMgFe2",
  "functional": "PBE-GGA",
  "state": "optimized geometry",
  "magnetic_moment_mub_per_fu": 5.1,
  "dft_energy_ev_per_atom": -3.889,
  "n_ef_per_ev_atom": 1.374,
  "formation_energy_ev_per_atom": 1.0154,
  "space_group": "No. 71",
  "e_above_lowest_polymorph_mev_per_atom": 531,
  "crystal_system": "orthorhombic",
  "lattice_angstrom": [[-2.721, 3.158, 4.476], [-1.318, -2.565, 5.394], [3.840, 1.985, -4.327]],
  "species": ["Fe", "Fe", "K", "Mg"],
  "fractional_positions": [[0.026, 0.026, 0.000], [0.474, 0.474, 0.000], [0.750, 0.250, 0.500], [0.250, 0.750, 0.500]]
}

[2]
{
  "formula": "KLiCa",
  "functional": "PBE-GGA",
  "state": "optimized geometry",
  "magnetic_moment_mub_per_fu": 0.0,
  "dft_energy_ev_per_atom": -1.500,
  "n_ef_per_ev_atom": 0.977,
  "formation_energy_ev_per_atom": 0.1711,
  "space_group": "No. 156",
  "e_above_lowest_polymorph_mev_per_atom": 101,
  "crystal_system": "trigonal",
  "lattice_angstrom": [[-0.808, 1.126, 3.754], [-0.001, -3.883, -0.969], [9.061, -0.529, 2.109]],
  "species": ["Ca", "K", "Li"],
  "fractional_positions": [[0.000, 0.000, 0.961], [0.667, 0.333, 0.353], [0.333, 0.667, 0.686]]
}

[3]
{
  "formula": "BeRe2As",
  "functional": "PBE-GGA",
  "state": "optimized geometry",
  "magnetic_moment_mub_per_fu": 0.0,
  "dft_energy_ev_per_atom": -8.028,
  "n_ef_per_ev_atom": 0.653,
  "formation_energy_ev_per_atom": 0.2899,
  "space_group": "No. 12",
  "e_above_lowest_polymorph_mev_per_atom": 328,
  "crystal_system": "monoclinic",
  "lattice_angstrom": [[4.318, 0.030, -0.015], [3.330, 2.748, -0.015], [0.870, 0.316, 4.693]],
  "species": ["Re", "Re", "As", "Be"],
  "fractional_positions": [[0.984, 0.984, 0.024], [0.516, 0.516, 0.476], [0.750, 0.750, 0.750], [0.250, 0.250, 0.250]]
}

[4]
{
  "formula": "La4Pr5Ag",
  "functional": "PBE-GGA",
  "state": "optimized geometry",
  "magnetic_moment_mub_per_fu": 0.0,
  "dft_energy_ev_per_atom": -4.686,
  "n_ef_per_ev_atom": 1.488,
  "formation_energy_ev_per_atom": -0.0398,
  "space_group": "No. 123",
  "crystal_system": "tetragonal",
  "lattice_angstrom": [[3.758, 0.000, 0.000], [0.000, 3.758, 0.000], [0.000, 0.000, 24.519]],
  "species": ["La", "La", "La", "La", "Pr", "Pr", "Pr", "Pr", "Pr", "Ag"],
  "fractional_positions": [[0.000, 0.000, 0.182], [0.000, 0.000, 0.394], [0.000, 0.000, 0.606], [0.000, 0.000, 0.818], [0.500, 0.500, 0.077], [0.500, 0.500, 0.288], [0.500, 0.500, 0.500], [0.500, 0.500, 0.712], [0.500, 0.500, 0.923], [0.000, 0.000, 0.000]]
}

[5]
{
  "formula": "TaCrOs2",
  "functional": "PBE-GGA",
  "state": "optimized geometry",
  "magnetic_moment_mub_per_fu": 1.5,
  "dft_energy_ev_per_atom": -10.949,
  "n_ef_per_ev_atom": 1.377,
  "formation_energy_ev_per_atom": 0.0345,
  "space_group": "No. 119",
  "crystal_system": "tetragonal",
  "lattice_angstrom": [[-2.009, 3.358, 2.916], [-0.602, -1.614, 4.566], [3.775, 0.042, -3.093]],
  "species": ["Cr", "Os", "Os", "Ta"],
  "fractional_positions": [[0.750, 0.250, 0.500], [0.000, 0.000, 0.000], [0.250, 0.750, 0.500], [0.500, 0.500, 0.000]]
}

[6]
{
  "formula": "Ba2AlTl",
  "functional": "PBE-GGA",
  "state": "optimized geometry",
  "magnetic_moment_mub_per_fu": 0.0,
  "dft_energy_ev_per_atom": -2.699,
  "n_ef_per_ev_atom": 0.874,
  "formation_energy_ev_per_atom": -0.2105,
  "space_group": "No. 123",
  "e_above_lowest_polymorph_mev_per_atom": 7,
  "crystal_system": "tetragonal",
  "lattice_angstrom": [[-0.610, -2.955, -2.940], [0.963, -2.991, 2.806], [-8.203, -0.537, 2.243]],
  "species": ["Tl", "Ba", "Ba", "Al"],
  "fractional_positions": [[0.500, 0.500, 0.250], [0.000, 0.000, 0.988], [0.000, 0.000, 0.512], [0.500, 0.500, 0.750]]
}